An optimized crystal structure of SrAl2Ag9. Source: the Alexandria database, functional GGA-PBE.

Geometry as extended XYZ:
```
24
Lattice="6.609 0.000 3.043 3.305 8.072 1.521 -0.071 0.000 8.854" Properties=species:S:1:pos:R:3 pbc="T T T"
Sr 3.305 0.000 1.521
Sr 3.269 4.036 5.948
Al 6.556 2.018 9.683
Al 8.243 6.054 6.017
Al 6.591 2.018 5.256
Al 4.903 6.054 8.922
Ag 6.573 4.036 7.470
Ag 0.000 0.000 0.000
Ag 3.081 7.423 7.423
Ag 4.267 0.650 4.847
Ag 5.055 1.418 7.486
Ag 5.598 6.654 6.305
Ag 7.549 6.654 8.634
Ag 1.483 1.418 4.411
Ag 3.457 7.423 4.474
Ag 2.271 0.650 7.050
Ag 6.726 4.686 10.422
Ag 2.306 3.386 2.623
Ag 1.448 2.618 8.838
Ag 4.280 5.454 2.686
Ag 2.258 5.454 9.211
Ag 5.090 2.618 3.059
Ag 6.421 4.686 4.517
Ag 4.231 3.386 9.274
```

Values from the calculation:
* space-group type: No. 141
* DOS(E_F): 9.26 states/eV per cell
* formation enthalpy at 0 K: -0.13 eV/atom

An optimized crystal structure of TbPrGeI. Source: the Alexandria database, functional GGA-PBE.

Geometry as extended XYZ:
```
4
Lattice="-3.259 2.767 0.128 1.371 -1.518 -3.757 -3.271 -7.237 1.730" Properties=species:S:1:pos:R:3 pbc="T T T"
Tb 0.757 -1.631 -3.438
Pr -3.625 -3.674 0.659
Ge -3.144 -6.360 -0.516
I -3.766 -0.474 -0.687
```

Values from the calculation:
* space-group type: No. 160
* raw formation energy: -382 kJ/mol of formula units
* DOS(E_F): 2.77 states/eV per cell

An optimized crystal structure of TcSeN2F. Source: the Alexandria database, functional GGA-PBE.

Geometry as extended XYZ:
```
5
Lattice="3.949 0.000 0.000 0.000 3.949 0.000 0.000 0.000 4.121" Properties=species:S:1:pos:R:3 pbc="T T T"
N 0.000 1.974 0.000
N 1.974 0.000 0.000
Tc 1.974 1.974 2.060
Se 0.000 0.000 0.000
F 0.000 0.000 2.060
```

Values from the calculation:
* space-group type: No. 123
* raw formation energy: 667 kJ/mol of formula units
* DOS(E_F): 1.41 states/eV per cell
* energy above the lowest structure with this stoichiometry: 0.951 eV/atom

An optimized crystal structure of GeNO2F. Source: the Alexandria database, functional GGA-PBE.

Geometry as extended XYZ:
```
5
Lattice="-2.003 -2.142 -2.088 2.647 -0.101 -2.437 1.603 -3.331 1.879" Properties=species:S:1:pos:R:3 pbc="T T T"
Ge 0.000 0.000 0.000
N 0.802 -1.665 0.940
O 1.324 -0.050 -1.219
O -1.002 -1.071 -1.044
F 1.124 -2.787 -1.323
```

Values from the calculation:
* space-group type: No. 123
* raw formation energy: 231 kJ/mol of formula units
* DOS(E_F): 5.36 states/eV per cell